# In3Rh

A geometry-optimized In3Rh structure (PBE, Alexandria via LeMat-Bulk).

Unit cell a=5.1603 b=5.1603 c=5.1603 alpha=90.00 beta=90.00 gamma=90.00
With the nearest neighbours (Å) after each atom.
Atoms (fractional coordinates):
In (0.0000, 0.0000, 0.5000)  2 Rh 2.58
In (0.0000, 0.5000, 0.0000)  2 Rh 2.58
In (0.5000, 0.0000, 0.0000)  2 Rh 2.58
Rh (0.0000, 0.0000, 0.0000)  6 In 2.58

Computed properties:
Crystal system = cubic
DFT total energy = -4.05 eV/atom



# InRh

A geometry-optimized InRh structure (PBE, Alexandria via LeMat-Bulk).

Unit cell a=5.3436 b=5.3436 c=5.3684 alpha=90.00 beta=90.00 gamma=90.00
With the nearest neighbours (Å) after each atom.
Atoms (fractional coordinates):
In (0.2121, 0.2121, 0.0000)  6 Rh 2.68-2.72
In (0.2879, 0.7121, 0.5000)  6 Rh 2.68-2.72
In (0.7121, 0.2879, 0.5000)  6 Rh 2.68-2.72
In (0.7879, 0.7879, 0.0000)  6 Rh 2.68-2.72
Rh (0.2085, 0.2085, 0.5000)  6 In 2.68-2.72
Rh (0.2915, 0.7085, 0.0000)  6 In 2.68-2.72
Rh (0.7085, 0.2915, 0.0000)  6 In 2.68-2.72
Rh (0.7915, 0.7915, 0.5000)  6 In 2.68-2.72

Computed properties:
Crystal system = tetragonal
DFT total energy = -5.11 eV/atom



# InRh2

A geometry-optimized InRh2 structure (PBE, Alexandria via LeMat-Bulk).

Unit cell a=7.2093 b=7.2093 c=4.6010 alpha=90.00 beta=90.00 gamma=156.13
With the nearest neighbours (Å) after each atom.
Atoms (fractional coordinates):
In (0.1001, 0.8999, 0.7500)  10 Rh 2.76-2.99, 2 In 2.98
In (0.8999, 0.1001, 0.2500)  10 Rh 2.76-2.99, 2 In 2.98
Rh (0.2350, 0.7650, 0.2500)  4 In 2.76-2.99, 8 Rh 2.77-2.98
Rh (0.4321, 0.5679, 0.7500)  6 In 2.78-2.80, 6 Rh 2.79-2.99
Rh (0.5679, 0.4321, 0.2500)  6 In 2.78-2.80, 6 Rh 2.79-2.99
Rh (0.7650, 0.2350, 0.7500)  4 In 2.76-2.99, 8 Rh 2.77-2.98

Computed properties:
Crystal system = orthorhombic
DFT total energy = -5.95 eV/atom



# InRh

A geometry-optimized InRh structure (PBE, Alexandria via LeMat-Bulk).

Unit cell a=4.6233 b=4.6233 c=4.6233 alpha=60.00 beta=60.00 gamma=60.00
With the nearest neighbours (Å) after each atom.
Atoms (fractional coordinates):
In (0.1250, 0.1250, 0.1250)  4 In 2.83, 4 Rh 2.83
In (0.8750, 0.8750, 0.8750)  4 Rh 2.83, 4 In 2.83
Rh (0.3750, 0.3750, 0.3750)  4 In 2.83, 4 Rh 2.83
Rh (0.6250, 0.6250, 0.6250)  4 Rh 2.83, 4 In 2.83

Computed properties:
Crystal system = cubic
DFT total energy = -5.05 eV/atom



# InRh

A geometry-optimized InRh structure (PBE, Alexandria via LeMat-Bulk).

Unit cell a=2.9752 b=6.7998 c=6.7998 alpha=122.97 beta=90.00 gamma=90.00
With the nearest neighbours (Å) after each atom.
Atoms (fractional coordinates):
In (0.0000, 0.0000, 0.0000)  4 Rh 2.72-2.74, 2 In 2.98
In (0.5000, 0.1162, 0.5784)  5 Rh 2.72-2.76, 2 In 2.98
In (0.5000, 0.5784, 0.1162)  5 Rh 2.72-2.76, 2 In 2.98
Rh (0.0000, 0.5194, 0.7522)  5 In 2.72-2.76, 5 Rh 2.75-2.98
Rh (0.0000, 0.7522, 0.5194)  5 In 2.72-2.76, 5 Rh 2.75-2.98
Rh (0.5000, 0.3515, 0.3515)  4 In 2.72-2.76, 6 Rh 2.75-2.98

Computed properties:
Crystal system = orthorhombic
DFT total energy = -5.24 eV/atom



# In3Rh

A geometry-optimized In3Rh structure (PBE, Alexandria via LeMat-Bulk).

Unit cell a=7.0917 b=7.0917 c=7.2327 alpha=90.00 beta=90.00 gamma=90.00
With the nearest neighbours (Å) after each atom.
Atoms (fractional coordinates):
In (0.0000, 0.5000, 0.0000)  2 Rh 2.68
In (0.0000, 0.5000, 0.5000)  2 Rh 2.68
In (0.1514, 0.1514, 0.2444)  3 Rh 2.68-2.80
In (0.1514, 0.1514, 0.7556)  3 Rh 2.68-2.80
In (0.3486, 0.6514, 0.2556)  3 Rh 2.68-2.80
In (0.3486, 0.6514, 0.7444)  3 Rh 2.68-2.80
In (0.5000, 0.0000, 0.0000)  2 Rh 2.68
In (0.5000, 0.0000, 0.5000)  2 Rh 2.68
In (0.6514, 0.3486, 0.2556)  3 Rh 2.68-2.80
In (0.6514, 0.3486, 0.7444)  3 Rh 2.68-2.80
In (0.8486, 0.8486, 0.2444)  3 Rh 2.68-2.80
In (0.8486, 0.8486, 0.7556)  3 Rh 2.68-2.80
Rh (0.1545, 0.8455, 0.0000)  8 In 2.68-2.80
Rh (0.3455, 0.3455, 0.5000)  8 In 2.68-2.80
Rh (0.6545, 0.6545, 0.5000)  8 In 2.68-2.80
Rh (0.8455, 0.1545, 0.0000)  8 In 2.68-2.80

Computed properties:
Crystal system = tetragonal
DFT total energy = -4.19 eV/atom



# InRuRh2

A geometry-optimized InRuRh2 structure (PBE, Alexandria via LeMat-Bulk).

Unit cell a=4.7896 b=4.7896 c=4.8306 alpha=99.76 beta=99.76 gamma=34.75
With the nearest neighbours (Å) after each atom.
Atoms (fractional coordinates):
In (0.0000, 0.0000, 0.0000)  6 Rh 2.77-2.84, 4 Ru 2.81, 2 In 2.86
Ru (0.5000, 0.5000, 0.5000)  6 Rh 2.73-2.77, 4 In 2.81, 2 Ru 2.86
Rh (0.2449, 0.2449, 0.7337)  6 Rh 2.69-2.93, 3 Ru 2.73-2.77, 3 In 2.77-2.84
Rh (0.7551, 0.7551, 0.2663)  6 Rh 2.69-2.93, 3 Ru 2.73-2.77, 3 In 2.77-2.84

Computed properties:
Crystal system = monoclinic
DFT total energy = -6.67 eV/atom



# InRuRh2

A geometry-optimized InRuRh2 structure (PBE, Alexandria via LeMat-Bulk).

Unit cell a=4.8205 b=4.8205 c=4.8205 alpha=131.37 beta=131.37 gamma=71.23
With the nearest neighbours (Å) after each atom.
Atoms (fractional coordinates):
In (0.0000, 0.0000, 0.0000)  8 Rh 2.79, 4 Ru 2.81
Ru (0.5000, 0.5000, 0.0000)  8 Rh 2.79, 4 In 2.81
Rh (0.2500, 0.7500, 0.5000)  4 In 2.79, 4 Ru 2.79, 4 Rh 2.81
Rh (0.7500, 0.2500, 0.5000)  4 In 2.79, 4 Ru 2.79, 4 Rh 2.81

Computed properties:
Crystal system = tetragonal
DFT total energy = -6.73 eV/atom



# InRuRh2

A geometry-optimized InRuRh2 structure (PBE, Alexandria via LeMat-Bulk).

Unit cell a=4.8259 b=4.8259 c=4.8259 alpha=131.43 beta=131.43 gamma=71.13
With the nearest neighbours (Å) after each atom.
Atoms (fractional coordinates):
In (0.0000, 0.0000, 0.0000)  4 Ru 2.79, 8 Rh 2.79-2.81
Ru (0.7500, 0.2500, 0.5000)  8 Rh 2.79-2.81, 4 In 2.79
Rh (0.2500, 0.7500, 0.5000)  4 Rh 2.79, 4 In 2.79, 4 Ru 2.81
Rh (0.5000, 0.5000, 0.0000)  4 Ru 2.79, 4 Rh 2.79, 4 In 2.81

Computed properties:
Crystal system = tetragonal
DFT total energy = -6.69 eV/atom



# InRuRh2

A geometry-optimized InRuRh2 structure (PBE, Alexandria via LeMat-Bulk).

Unit cell a=2.8628 b=2.8628 c=7.5940 alpha=90.00 beta=90.00 gamma=90.00
With the nearest neighbours (Å) after each atom.
Atoms (fractional coordinates):
In (0.0000, 0.0000, 0.0000)  4 Rh 2.82, 4 In 2.86, 4 Ru 2.89
Ru (0.5000, 0.5000, 0.7289)  4 Rh 2.64, 4 Ru 2.86, 4 In 2.89
Rh (0.0000, 0.0000, 0.5051)  4 Ru 2.64, 8 Rh 2.76-2.86
Rh (0.5000, 0.5000, 0.2585)  8 Rh 2.76-2.86, 4 In 2.82

Computed properties:
Crystal system = tetragonal
DFT total energy = -6.64 eV/atom



# InRuRh2

A geometry-optimized InRuRh2 structure (PBE, Alexandria via LeMat-Bulk).

Unit cell a=4.4615 b=4.4615 c=4.4615 alpha=60.00 beta=60.00 gamma=60.00
With the nearest neighbours (Å) after each atom.
Atoms (fractional coordinates):
In (0.0000, 0.0000, 0.0000)  4 Ru 2.73, 4 Rh 2.73
Ru (0.7500, 0.7500, 0.7500)  4 In 2.73, 4 Rh 2.73
Rh (0.2500, 0.2500, 0.2500)  4 In 2.73, 4 Rh 2.73
Rh (0.5000, 0.5000, 0.5000)  4 Ru 2.73, 4 Rh 2.73

Computed properties:
Crystal system = cubic
DFT total energy = -6.54 eV/atom



# In4RuRh3

A geometry-optimized In4RuRh3 structure (PBE, Alexandria via LeMat-Bulk).

Unit cell a=3.2386 b=3.2386 c=12.8879 alpha=90.00 beta=90.00 gamma=90.00
With the nearest neighbours (Å) after each atom.
Atoms (fractional coordinates):
In (0.0000, 0.0000, 0.1224)  4 Ru 2.78, 4 Rh 2.83
In (0.0000, 0.0000, 0.3739)  8 Rh 2.78-2.81
In (0.0000, 0.0000, 0.6261)  8 Rh 2.78-2.81
In (0.0000, 0.0000, 0.8776)  4 Ru 2.78, 4 Rh 2.83
Ru (0.5000, 0.5000, 0.0000)  8 In 2.78
Rh (0.5000, 0.5000, 0.2514)  8 In 2.78-2.83
Rh (0.5000, 0.5000, 0.5000)  8 In 2.81
Rh (0.5000, 0.5000, 0.7486)  8 In 2.78-2.83

Computed properties:
Crystal system = tetragonal
DFT total energy = -5.60 eV/atom



# InRuRh2

A geometry-optimized InRuRh2 structure (PBE, Alexandria via LeMat-Bulk).

Unit cell a=3.9824 b=3.9824 c=3.9198 alpha=90.00 beta=90.00 gamma=90.00
With the nearest neighbours (Å) after each atom.
Atoms (fractional coordinates):
In (0.0000, 0.0000, 0.0000)  8 Rh 2.79, 4 Ru 2.82
Ru (0.5000, 0.5000, 0.0000)  8 Rh 2.79, 4 In 2.82
Rh (0.0000, 0.5000, 0.5000)  4 In 2.79, 4 Ru 2.79, 4 Rh 2.82
Rh (0.5000, 0.0000, 0.5000)  4 In 2.79, 4 Ru 2.79, 4 Rh 2.82

Computed properties:
Crystal system = tetragonal
DFT total energy = -6.62 eV/atom



# InRuRh2

A geometry-optimized InRuRh2 structure (PBE, Alexandria via LeMat-Bulk).

Unit cell a=8.9764 b=8.9764 c=8.9764 alpha=18.33 beta=18.33 gamma=18.33
With the nearest neighbours (Å) after each atom.
Atoms (fractional coordinates):
In (0.0000, 0.0000, 0.0000)  6 Rh 2.82, 6 In 2.86
Ru (0.5000, 0.5000, 0.5000)  6 Rh 2.69, 6 Ru 2.86
Rh (0.2468, 0.2468, 0.2468)  3 Ru 2.69, 3 In 2.82, 6 Rh 2.86
Rh (0.7532, 0.7532, 0.7532)  3 Ru 2.69, 3 In 2.82, 6 Rh 2.86

Computed properties:
Crystal system = trigonal
DFT total energy = -6.57 eV/atom